VASP calculation (PBE+U) on a geometry-optimized BiMoN2F structure.

a b c (Å): 4.158 4.158 4.106
angles (deg): 90.00 90.00 90.00
Fractional coordinates of all 5 atoms:
Bi 0.000 0.000 0.000
Mo 0.500 0.500 0.500
N 0.000 0.500 0.500
N 0.500 0.000 0.500
F 0.500 0.500 0.000

Raw total energy in eV per atom: -5.88